Density functional theory data (GGA-PBE) for a relaxed structure of SmPaAsN2.

Computed properties:
* E_form (uncorrected): -1.381 eV/atom
* crystal system: tetragonal
* density of states at the Fermi level: 8.381 states/eV/cell
* energy: -8.484 eV/atom
* symmetry: I4mm, No. 107

a = 3.9094 Å, b = 3.9094 Å, c = 12.7822 Å
α = 90.00°, β = 90.00°, γ = 90.00°
Closest atoms and distances in Å follow each position.
Fractional coordinates of all 10 atoms:
Sm  0.0000  0.0000  0.0000  4 N 2.35
Sm  0.5000  0.5000  0.5000  4 N 2.35
Pa  0.0000  0.0000  0.3219  4 N 2.18
Pa  0.5000  0.5000  0.8219  4 N 2.18
As  0.0000  0.0000  0.6618  4 Pa 3.44, 4 Sm 3.45, 4 N 3.60
As  0.5000  0.5000  0.1618  4 Pa 3.44, 4 Sm 3.45, 4 N 3.60
N  0.0000  0.5000  0.3979  2 Pa 2.18, 2 Sm 2.35
N  0.0000  0.5000  0.8979  2 Pa 2.18, 2 Sm 2.35
N  0.5000  0.0000  0.3979  2 Pa 2.18, 2 Sm 2.35
N  0.5000  0.0000  0.8979  2 Pa 2.18, 2 Sm 2.35

***

Density functional theory data (GGA-PBE) for a relaxed structure of PaSnAsN.

Computed properties:
* E_form (uncorrected): -0.960 eV/atom
* crystal system: trigonal
* density of states at the Fermi level: 6.130 states/eV/cell
* energy: -7.579 eV/atom
* symmetry: R-3m, No. 166

a = 12.9543 Å, b = 12.9543 Å, c = 12.9543 Å
α = 17.53°, β = 17.53°, γ = 17.53°
Closest atoms and distances in Å follow each position.
Fractional coordinates of all 8 atoms:
Pa  0.1303  0.1303  0.1303  4 N 2.23-2.35
Pa  0.8697  0.8697  0.8697  4 N 2.23-2.35
Sn  0.2995  0.2995  0.2995  3 As 2.83
Sn  0.7005  0.7005  0.7005  3 As 2.83
As  0.4109  0.4109  0.4109  3 Sn 2.83, 3 Pa 3.04
As  0.5891  0.5891  0.5891  3 Sn 2.83, 3 Pa 3.04
N  0.1885  0.1885  0.1885  4 Pa 2.23-2.35
N  0.8115  0.8115  0.8115  4 Pa 2.23-2.35

***

Density functional theory data (GGA-PBE) for a relaxed structure of PaSnAs2N.

Computed properties:
* E_form (uncorrected): -0.766 eV/atom
* crystal system: tetragonal
* density of states at the Fermi level: 2.355 states/eV/cell
* energy: -6.990 eV/atom
* symmetry: P4/nmm, No. 129

a = 3.9469 Å, b = 3.9469 Å, c = 13.5740 Å
α = 90.00°, β = 90.00°, γ = 90.00°
Closest atoms and distances in Å follow each position.
Fractional coordinates of all 10 atoms:
Pa  0.2500  0.2500  0.0882  4 N 2.31
Pa  0.7500  0.7500  0.9118  4 N 2.31
Sn  0.2500  0.2500  0.6123  6 As 2.69-2.80
Sn  0.7500  0.7500  0.3877  6 As 2.69-2.80
As  0.2500  0.2500  0.4062  5 Sn 2.80
As  0.2500  0.2500  0.8103  1 Sn 2.69
As  0.7500  0.7500  0.1897  1 Sn 2.69
As  0.7500  0.7500  0.5938  5 Sn 2.80
N  0.2500  0.7500  0.0000  4 Pa 2.31
N  0.7500  0.2500  0.0000  4 Pa 2.31

***

Density functional theory data (GGA-PBE) for a relaxed structure of Sr2PaAsN2.

Computed properties:
* E_form (uncorrected): -1.263 eV/atom
* crystal system: tetragonal
* energy: -6.957 eV/atom
* symmetry: P4/mmm, No. 123

a = 4.4053 Å, b = 4.4053 Å, c = 6.6601 Å
α = 90.00°, β = 90.00°, γ = 90.00°
Closest atoms and distances in Å follow each position.
Fractional coordinates of all 6 atoms:
Sr  0.0000  0.0000  0.2390  4 N 2.81
Sr  0.0000  0.0000  0.7610  4 N 2.81
Pa  0.5000  0.5000  0.5000  4 N 2.20
As  0.5000  0.5000  0.0000  2 Pa 3.33, 8 Sr 3.50
N  0.0000  0.5000  0.5000  2 Pa 2.20
N  0.5000  0.0000  0.5000  2 Pa 2.20

***

Number 1: theoretical density 8.23 g/cm3, size of the total moment 0.0 Bohr magnetons per cell. Number 2: theoretical density 8.46 g/cm3, size of the total moment 0.5 Bohr magnetons per cell. Number 3: theoretical density 8.07 g/cm3, size of the total moment 0.0 Bohr magnetons per cell. Number 4: theoretical density 6.54 g/cm3, size of the total moment 0.0 Bohr magnetons per cell.